Entry 1:
InGaAu2 | GGA-PBE | optimized geometry

Its total energy is -3.178 eV/atom.

It has space group P4/mmm (No. 123), with a = 3.468 Å, b = 3.468 Å, c = 6.638 Å, α = 90.00°, β = 90.00° and γ = 90.00°. Symmetry generates all atoms from In at (0.000, 0.000, 0.000), Ga at (0.000, 0.000, 0.500) and Au at (0.500, 0.500, 0.274).


Entry 2:
Na2NpRuO6 | GGA-PBE | optimized geometry

The value obtained for the uncorrected formation energy is -1.844 eV/atom.

It has space group C2/m (No. 12), with a = 11.331 Å, b = 5.656 Å, c = 5.159 Å, α = 90.00°, β = 117.00° and γ = 90.00°. Symmetry generates all atoms from Na at (0.245, 0.000, 0.301), Np at (0.000, 0.500, 0.000), Ru at (0.000, 0.000, 0.500), O at (0.073, 0.237, 0.345) and O at (0.169, 0.500, 0.026).


Entry 3:
Sr3NF | GGA-PBE | optimized geometry

The value obtained for the uncorrected formation energy is -1.392 eV/atom. For the excess energy over the best structure of this formula in the dataset, the calculation gives 0 meV per atom.

It has space group P2_1/m (No. 11), with a = 6.680 Å, b = 7.200 Å, c = 6.769 Å, α = 90.00°, β = 117.20° and γ = 90.00°. Symmetry generates all atoms from Sr at (0.011, 0.250, 0.403), Sr at (0.394, 0.502, 0.221), N at (0.402, 0.250, 0.486) and F at (0.399, 0.750, 0.915).


| no. | calculated volume (Å³/f.u.) | N(E_F) (states/eV/cell) |
| --- | --- | --- |
| 1 | 79.8 | 1.5 |
| 2 | 147.3 | 14.8 |
| 3 | 144.8 | 3.6 |